Compound: LaYIn2
Source: Alexandria
Functional: PBE
Structure: optimized geometry

Summary:
**ΔH_f (0 K)**: -196 kJ/mol of formula units
**Spin magnetization**: 0.039 μB/f.u.
**Total energy**: -4.7252 eV per atom
**Space-group type**: Pmmm (47)
**Volume**: 28.6 Å³ per atom

extended XYZ file:
```
4
Lattice="3.566 0.000 0.000 0.000 4.372 0.000 0.000 0.000 7.344" Properties=species:S:1:pos:R:3 pbc="T T T"
La 0.000 0.000 0.000
Y 0.000 0.000 3.672
In 1.783 2.186 2.014
In 1.783 2.186 5.330
```